# 1
Material: HoTm8Sc6
Method: DFT, PBE
State: optimized geometry

* symmetry: R-3
* spin magnetization: 0.0 μB per formula unit
* DFT formation energy: 0.1682 eV per atom
* total energy: -5.054 eV per atom
* calculated density: 6.99 g cm⁻³
* DOS at the Fermi energy: 25.752 states/eV/f.u.

Cell: 8.2637 8.2637 8.2637 Å, 62.86 62.86 62.86°
Fractional coordinates of all 15 atoms:
Tm1 0.2496 0.8891 0.2852
Tm2 0.7504 0.1109 0.7148
Tm3 0.7148 0.7504 0.1109
Tm4 0.8891 0.2852 0.2496
Tm5 0.5785 0.5785 0.5785
Tm6 0.4215 0.4215 0.4215
Tm7 0.2852 0.2496 0.8891
Tm8 0.1109 0.7148 0.7504
Ho1 0.0000 0.0000 0.0000
Sc1 0.8962 0.4649 0.7560
Sc2 0.7560 0.8962 0.4649
Sc3 0.5351 0.2440 0.1038
Sc4 0.4649 0.7560 0.8962
Sc5 0.2440 0.1038 0.5351
Sc6 0.1038 0.5351 0.2440

---

# 2
Material: In2GaHCl
Method: DFT, PBE
State: optimized geometry

* symmetry: P4/mmm
* spin magnetization: 0.0 μB per formula unit
* total energy: -2.874 eV per atom
* calculated density: 5.08 g cm⁻³
* DOS at the Fermi energy: 0.651 states/eV/f.u.

Cell: 5.5685 5.5685 3.5403 Å, 90.00 90.00 90.00°
Fractional coordinates of all 5 atoms:
H1 0.0000 0.0000 0.5000
Cl1 0.5000 0.5000 0.5000
Ga1 0.0000 0.0000 0.0000
In1 0.0000 0.5000 0.0000
In2 0.5000 0.0000 0.0000

---

# 3
Material: GdSn2Hg
Method: DFT, PBE
State: optimized geometry

* symmetry: P4/mmm
* spin magnetization: 7.3 μB per formula unit
* DFT formation energy: -0.2923 eV per atom
* total energy: -5.889 eV per atom
* calculated density: 9.35 g cm⁻³
* DOS at the Fermi energy: 2.910 states/eV/f.u.

Cell: 3.9567 3.9567 6.7501 Å, 90.00 90.00 90.00°
Site moments in Bohr magnetons follow the coordinates.
Fractional coordinates of all 4 atoms:
Sn1 0.0000 0.0000 0.7717  0.02
Sn2 0.0000 0.0000 0.2283  0.02
Gd1 0.5000 0.5000 0.5000  -7.09
Hg1 0.5000 0.5000 0.0000  0.01